[1]
## Ba2ZnInPd (PBE-GGA)

Data for an optimized crystal structure of Ba2ZnInPd.

```
data_Ba2ZnInPd
_cell_length_a 6.122
_cell_length_b 6.122
_cell_length_c 5.187
_cell_angle_alpha 90.00
_cell_angle_beta 90.00
_cell_angle_gamma 90.00
_symmetry_space_group_name_H-M 'P 4/m m m'
_symmetry_Int_Tables_number 123
_symmetry_space_group_name_Hall '-P 4 2'
loop_
_atom_site_label
_atom_site_type_symbol
_atom_site_fract_x
_atom_site_fract_y
_atom_site_fract_z
_atom_site_occupancy
Ba1 Ba 0.000 0.500 0.000 1
Zn1 Zn 0.000 0.000 0.500 1
In1 In 0.500 0.500 0.500 1
Pd1 Pd 0.500 0.500 0.000 1
```

[2]
## PAu3 (PBE-GGA)

Data for an optimized crystal structure of PAu3.

```
data_PAu3
_cell_length_a 3.3268
_cell_length_b 3.3268
_cell_length_c 22.9281
_cell_angle_alpha 90.00
_cell_angle_beta 90.00
_cell_angle_gamma 120.00
_symmetry_space_group_name_H-M 'R -3 m'
_symmetry_Int_Tables_number 166
_symmetry_space_group_name_Hall '-R 3 2"'
loop_
_atom_site_label
_atom_site_type_symbol
_atom_site_fract_x
_atom_site_fract_y
_atom_site_fract_z
_atom_site_occupancy
P1 P 0.0000 0.0000 0.0000 1
Au1 Au 0.0000 0.0000 0.2582 1
Au2 Au 0.0000 0.0000 0.5000 1
```

Q: Which calculated formation energy values were calculated for the entries above? A: -259, 180, in meV per atom.